Entry 1:
{"formula": "ZrSbOs", "functional": "SCAN", "state": "single point on PBEsol structure", "cell": [[-0.3044, -2.3725, -2.0808], [1.1082, -2.0377, 2.1612], [-5.5335, 1.3023, 1.7398]], "species": ["Os", "Sb", "Zr"], "frac_coords": [[0.9946, 0.9946, 0.9892], [0.3497, 0.3497, 0.6994], [0.6557, 0.6557, 0.3114]], "m_tot_mub_per_atom": 0.001, "raw_formation_energy_ev_per_atom": -0.1685}

=====

Entry 2:
{"formula": "CdSbOs2", "functional": "SCAN", "state": "single point on PBEsol structure", "cell": [[2.9864, -0.0005, 0.0000], [-1.4090, 2.6331, 0.0000], [0.0000, 0.0000, 8.8295]], "species": ["Sb", "Os", "Os", "Cd"], "frac_coords": [[0.5000, 0.5000, 0.5000], [0.0000, 0.0000, 0.2654], [0.0000, 0.0000, 0.7346], [0.5000, 0.5000, 0.0000]], "m_tot_mub_per_atom": 0.000, "raw_formation_energy_ev_per_atom": 0.9901}

=====

Entry 3:
{"formula": "Cs4PbBr6", "functional": "SCAN", "state": "single point on PBEsol structure", "cell": [[-1.1778, 6.3962, -7.6006], [4.4496, -6.3994, -6.2703], [-8.8227, -4.1186, -2.2943]], "species": ["Cs", "Cs", "Cs", "Cs", "Cs", "Cs", "Cs", "Cs", "Pb", "Pb", "Br", "Br", "Br", "Br", "Br", "Br", "Br", "Br", "Br", "Br", "Br", "Br"], "frac_coords": [[0.3745, 0.7500, 0.1255], [0.1255, 0.3745, 0.7500], [0.7500, 0.1255, 0.3745], [0.6255, 0.2500, 0.8745], [0.8745, 0.6255, 0.2500], [0.2500, 0.8745, 0.6255], [0.7500, 0.7500, 0.7500], [0.2500, 0.2500, 0.2500], [0.5000, 0.5000, 0.5000], [0.0000, 0.0000, 0.0000], [0.9277, 0.0606, 0.7075], [0.7075, 0.9277, 0.0606], [0.0606, 0.7075, 0.9277], [0.5723, 0.7925, 0.4394], [0.7925, 0.4394, 0.5723], [0.4394, 0.5723, 0.7925], [0.0723, 0.9394, 0.2925], [0.2925, 0.0723, 0.9394], [0.9394, 0.2925, 0.0723], [0.4277, 0.2075, 0.5606], [0.2075, 0.5606, 0.4277], [0.5606, 0.4277, 0.2075]], "m_tot_mub_per_atom": 0.000, "raw_formation_energy_ev_per_atom": -1.7476}

=====

Entry 4:
{"formula": "NaLi2Ca2", "functional": "SCAN", "state": "single point on PBEsol structure", "cell": [[4.9009, 0.0000, 0.0000], [0.0000, 8.0908, 0.0000], [0.0000, 0.0000, 8.0908]], "species": ["Na", "Na", "Ca", "Ca", "Ca", "Ca", "Li", "Li", "Li", "Li"], "frac_coords": [[0.0000, 0.0000, 0.0000], [0.0000, 0.5000, 0.5000], [0.5000, 0.1708, 0.6708], [0.5000, 0.6708, 0.8292], [0.5000, 0.8292, 0.3292], [0.5000, 0.3292, 0.1708], [0.0000, 0.3753, 0.8753], [0.0000, 0.8753, 0.6247], [0.0000, 0.6247, 0.1247], [0.0000, 0.1247, 0.3753]], "formation_energy_ev_per_atom": 0.05, "m_tot_mub_per_atom": 0.049}

=====

Entry 5:
{"formula": "La2CdCl", "functional": "SCAN", "state": "single point on PBEsol structure", "cell": [[-2.3398, 2.5794, 0.6659], [-2.4989, -1.2992, -3.7479], [-1.1496, -4.8704, 5.3870]], "species": ["Cl", "Cd", "La", "La"], "frac_coords": [[0.2737, 0.2737, 0.5473], [0.5456, 0.0456, 0.0911], [0.9532, 0.4532, 0.9065], [0.7275, 0.7275, 0.4551]], "m_tot_mub_per_atom": 0.000, "raw_formation_energy_ev_per_atom": -0.8779}

=====

Entry 6:
{"formula": "NaSrSN2", "functional": "SCAN", "state": "single point on PBEsol structure", "cell": [[4.4201, 0.0000, 0.0000], [0.0000, 4.4201, 0.0000], [0.0000, 0.0000, 5.0581]], "species": ["Sr", "S", "N", "N", "Na"], "frac_coords": [[0.5000, 0.5000, 0.5000], [0.0000, 0.0000, 0.5000], [0.0000, 0.5000, 0.0000], [0.5000, 0.0000, 0.0000], [0.0000, 0.0000, 0.0000]], "m_tot_mub_per_atom": 1.000, "raw_formation_energy_ev_per_atom": 0.5375}

=====

Entry 7:
{"formula": "FeC2S", "functional": "SCAN", "state": "single point on PBEsol structure", "cell": [[-3.2125, -1.9593, -2.1851], [4.3710, 0.3628, -2.4191], [-0.2115, -3.0766, 3.0697]], "species": ["C", "C", "C", "C", "S", "S", "Fe", "Fe"], "frac_coords": [[0.3981, 0.2500, 0.3750], [0.8519, 0.2500, 0.8750], [0.1250, 0.7500, 0.6019], [0.6250, 0.7500, 0.1481], [0.7500, 0.5000, 0.2500], [0.5000, 0.0000, 0.5000], [0.2500, 0.5000, 0.7500], [0.0000, 0.0000, 0.0000]], "m_tot_mub_per_atom": 0.000, "raw_formation_energy_ev_per_atom": 1.0452}

=====

Entry 8:
{"formula": "LiLaOs", "functional": "SCAN", "state": "single point on PBEsol structure", "cell": [[-3.0396, 2.4136, 2.2732], [-3.7330, -1.9718, 1.5522], [-0.5328, -0.6425, 4.4199]], "species": ["La", "Li", "Os"], "frac_coords": [[0.0000, 0.0000, 0.0000], [0.5000, 0.5000, 0.5000], [0.7500, 0.7500, 0.7500]], "formation_energy_ev_per_atom": 0.21, "m_tot_mub_per_atom": 0.000}

=====

Entry 9:
{"formula": "LaBeRh2", "functional": "SCAN", "state": "single point on PBEsol structure", "cell": [[-2.1898, -1.3459, 1.3622], [-1.2880, -1.0631, -3.1208], [3.7388, -4.9108, 0.1299]], "species": ["Be", "Rh", "Rh", "La"], "frac_coords": [[0.5000, 0.5000, 0.0000], [0.7625, 0.0000, 0.8090], [0.2375, 0.0000, 0.1910], [0.0000, 0.5000, 0.5000]], "formation_energy_ev_per_atom": -0.39, "m_tot_mub_per_atom": 0.000}

=====

Entry 10:
{"formula": "Cr4Rh", "functional": "SCAN", "state": "single point on PBEsol structure", "cell": [[-1.5978, 1.7967, 2.7210], [-1.7509, -3.0290, 0.9719], [5.3195, -0.5558, 1.0678]], "species": ["Cr", "Cr", "Cr", "Cr", "Rh"], "frac_coords": [[0.7500, 0.2500, 0.5000], [0.3878, 0.3878, 0.7756], [0.6122, 0.6122, 0.2244], [0.2500, 0.7500, 0.5000], [0.0000, 0.0000, 0.0000]], "formation_energy_ev_per_atom": 0.71, "m_tot_mub_per_atom": 0.185}

=====

Entry 11:
{"formula": "Os3SeCl", "functional": "SCAN", "state": "single point on PBEsol structure", "cell": [[-0.8169, -0.8020, 4.4239], [-2.0845, -3.9164, -1.0949], [3.9836, -2.2138, 0.3343]], "species": ["Os", "Os", "Os", "Se", "Cl"], "frac_coords": [[0.0000, 0.5000, 0.0000], [0.0000, 0.0000, 0.5000], [0.5000, 0.0000, 0.0000], [0.0000, 0.0000, 0.0000], [0.5000, 0.5000, 0.5000]], "m_tot_mub_per_atom": 0.560, "raw_formation_energy_ev_per_atom": 2.2618}

=====

Entry 12:
{"formula": "ReRu3Br", "functional": "SCAN", "state": "single point on PBEsol structure", "cell": [[-0.6450, 0.3932, 4.3413], [-2.3759, -3.7112, -0.0169], [3.6547, -2.3432, 0.7552]], "species": ["Re", "Br", "Ru", "Ru", "Ru"], "frac_coords": [[0.5000, 0.5000, 0.5000], [0.0000, 0.0000, 0.0000], [0.0000, 0.5000, 0.0000], [0.0000, 0.0000, 0.5000], [0.5000, 0.0000, 0.0000]], "m_tot_mub_per_atom": 1.021, "raw_formation_energy_ev_per_atom": 2.2130}

=====

- What is the formula in the eleventh record?
  Os3SeCl